Entry from OQMD via LeMat-Bulk: ScNbN2O after structural relaxation (PBE-GGA).

Cell: 4.049 4.049 3.885 Å, 90.00 90.00 90.00°
Space group P4/mmm (No. 123)
Symmetry-distinct sites (fractional):
Sc (0.000, 0.000, 0.000) [1 per cell]
Nb (0.500, 0.500, 0.500) [1 per cell]
N (0.000, 0.500, 0.500) [2 per cell]
O (0.500, 0.500, 0.000) [1 per cell]

Results
**ρ**: 4.7 g/cm³
**Electronic total energy**: -8.6762 eV per atom